Er2ThP3 after structural relaxation. Source: Alexandria, functional GGA-PBE.

Calculated values
V = 23.20 Å³ per atom
formation energy = -1.5933 eV/atom
theoretical density = 7.87 g cm⁻³
spin magnetization = 0.00 μB per cell
space group = No. 71

a = 4.038 Å, b = 5.724 Å, c = 6.966 Å
α = 114.26°, β = 106.85°, γ = 90.00°
Fractional positions:
1 Er 0.666 0.166 0.332
2 Er 0.334 0.834 0.668
3 Th 0.000 0.500 0.000
4 P 0.328 0.328 0.657
5 P 0.000 0.000 0.000
6 P 0.672 0.672 0.343

=====

GaSN2O after structural relaxation. Source: Alexandria, functional GGA-PBE.

Calculated values
V = 12.22 Å³ per atom
ΔE_f (raw) = 139.1 kJ/mol of atoms
theoretical density = 3.96 g cm⁻³
spin magnetization = 2.05 μB per cell
space group = No. 123

a = 4.048 Å, b = 4.048 Å, c = 3.727 Å
α = 90.00°, β = 90.00°, γ = 90.00°
Site moments in Bohr magnetons follow the coordinates.
Fractional positions:
1 S 0.500 0.500 0.500  -0.43
2 O 0.000 0.000 0.500  0.21
3 Ga 0.000 0.000 0.000  -0.02
4 N 0.000 0.500 0.000  0.87
5 N 0.500 0.000 0.000  0.87

=====

Co2TcTe after structural relaxation. Source: Alexandria, functional GGA-PBE.

Calculated values
V = 13.97 Å³ per atom
ΔE_f (raw) = 31.8 kJ/mol of atoms
theoretical density = 10.21 g cm⁻³
spin magnetization = 1.95 μB per cell
space group = No. 119

a = 4.614 Å, b = 4.614 Å, c = 4.614 Å
α = 130.28°, β = 130.24°, γ = 72.99°
Site moments in Bohr magnetons follow the coordinates.
Fractional positions:
1 Co 0.000 0.000 0.000  0.74
2 Co 0.750 0.250 0.500  1.08
3 Tc 0.500 0.500 0.000  0.17
4 Te 0.250 0.750 0.500  0.01

=====

DyEr4Ru5 after structural relaxation. Source: Alexandria, functional GGA-PBE.

Calculated values
V = 19.24 Å³ per atom
formation energy = -0.3710 eV/atom
theoretical density = 11.54 g cm⁻³
spin magnetization = 0.00 μB per cell
space group = No. 123

a = 3.378 Å, b = 3.378 Å, c = 16.856 Å
α = 90.00°, β = 90.00°, γ = 90.00°
Fractional positions:
1 Dy 0.000 0.000 0.000
2 Er 0.000 0.000 0.201
3 Er 0.000 0.000 0.400
4 Er 0.000 0.000 0.600
5 Er 0.000 0.000 0.799
6 Ru 0.500 0.500 0.101
7 Ru 0.500 0.500 0.301
8 Ru 0.500 0.500 0.500
9 Ru 0.500 0.500 0.699
10 Ru 0.500 0.500 0.899

=====

KHfTl3 after structural relaxation. Source: Alexandria, functional GGA-PBE.

Calculated values
V = 37.36 Å³ per atom
formation energy = 0.2463 eV/atom
theoretical density = 7.38 g cm⁻³
spin magnetization = 0.00 μB per cell
space group = No. 221

a = 5.716 Å, b = 5.716 Å, c = 5.716 Å
α = 90.00°, β = 90.00°, γ = 90.00°
Fractional positions:
1 Tl 0.000 0.500 0.000
2 Tl 0.000 0.000 0.500
3 Tl 0.500 0.000 0.000
4 Hf 0.000 0.000 0.000
5 K 0.500 0.500 0.500

=====

ScInP2 after structural relaxation. Source: Alexandria, functional GGA-PBE.

Calculated values
V = 19.60 Å³ per atom
formation energy = -0.1144 eV/atom
theoretical density = 4.70 g cm⁻³
spin magnetization = 0.00 μB per cell
space group = No. 160

a = 8.013 Å, b = 8.013 Å, c = 8.013 Å
α = 24.61°, β = 24.61°, γ = 24.61°
Fractional positions:
1 In 0.743 0.743 0.743
2 P 0.983 0.983 0.983
3 P 0.262 0.262 0.262
4 Sc 0.512 0.512 0.512

=====

PrHo3Tm2Te6 after structural relaxation. Source: Alexandria, functional GGA-PBE.

Calculated values
V = 29.29 Å³ per atom
ΔE_f (raw) = -120.9 kJ/mol of atoms
theoretical density = 8.22 g cm⁻³
spin magnetization = 0.00 μB per cell
space group = No. 12

a = 4.307 Å, b = 8.809 Å, c = 9.696 Å
α = 101.23°, β = 102.83°, γ = 90.00°
Fractional positions:
1 Pr 0.500 0.000 0.000
2 Ho 0.500 0.500 0.000
3 Ho 0.843 0.162 0.686
4 Ho 0.157 0.838 0.314
5 Tm 0.837 0.666 0.673
6 Tm 0.163 0.334 0.327
7 Te 0.325 0.906 0.650
8 Te 0.669 0.587 0.338
9 Te 0.675 0.094 0.350
10 Te 0.004 0.263 0.007
11 Te 0.996 0.737 0.993
12 Te 0.331 0.413 0.662

=====

LuPu2Ru after structural relaxation. Source: Alexandria, functional GGA-PBE.

Calculated values
V = 24.58 Å³ per atom
formation energy = 0.1527 eV/atom
theoretical density = 12.90 g cm⁻³
spin magnetization = 11.11 μB per cell
space group = No. 166

a = 3.436 Å, b = 3.436 Å, c = 9.816 Å
α = 79.92°, β = 79.92°, γ = 60.00°
Site moments in Bohr magnetons follow the coordinates.
Fractional positions:
1 Ru 0.000 0.000 0.000  0.60
2 Lu 0.500 0.500 0.500  -0.25
3 Pu 0.265 0.265 0.205  -5.33
4 Pu 0.735 0.735 0.795  -5.33

=====

Cs2InSi2Se6 after structural relaxation. Source: Alexandria, functional GGA-PBE.

Calculated values
V = 36.04 Å³ per atom
ΔE_f (raw) = -59.1 kJ/mol of atoms
theoretical density = 3.81 g cm⁻³
spin magnetization = 0.00 μB per cell
space group = No. 166

a = 7.528 Å, b = 7.528 Å, c = 9.174 Å
α = 65.78°, β = 65.78°, γ = 60.00°
Fractional positions:
1 Cs 0.776 0.776 0.671
2 Cs 0.224 0.224 0.329
3 In 0.000 0.000 0.000
4 Si 0.412 0.412 0.765
5 Si 0.588 0.588 0.235
6 Se 0.753 0.753 0.250
7 Se 0.245 0.753 0.250
8 Se 0.753 0.245 0.250
9 Se 0.247 0.755 0.750
10 Se 0.755 0.247 0.750
11 Se 0.247 0.247 0.750

=====

Rb3Zn2Au3 after structural relaxation. Source: Alexandria, functional GGA-PBE.

Calculated values
V = 32.04 Å³ per atom
formation energy = -0.2167 eV/atom
theoretical density = 6.34 g cm⁻³
spin magnetization = 0.00 μB per cell
space group = No. 63

a = 4.836 Å, b = 6.857 Å, c = 16.523 Å
α = 90.00°, β = 90.00°, γ = 110.65°
Fractional positions:
1 Rb 0.929 0.858 0.396
2 Rb 0.071 0.142 0.896
3 Rb 0.929 0.858 0.104
4 Rb 0.071 0.142 0.604
5 Rb 0.615 0.229 0.250
6 Rb 0.385 0.771 0.750
7 Zn 0.779 0.557 0.899
8 Zn 0.221 0.443 0.399
9 Zn 0.779 0.557 0.601
10 Zn 0.221 0.443 0.101
11 Au 0.678 0.356 0.455
12 Au 0.322 0.644 0.955
13 Au 0.678 0.356 0.045
14 Au 0.322 0.644 0.545
15 Au 0.300 0.600 0.250
16 Au 0.700 0.400 0.750

=====

Y2Se2O after structural relaxation. Source: Alexandria, functional GGA-PBE.

Calculated values
V = 21.71 Å³ per atom
ΔE_f (raw) = -235.3 kJ/mol of atoms
theoretical density = 5.38 g cm⁻³
spin magnetization = 0.00 μB per cell
space group = No. 72

a = 5.745 Å, b = 7.096 Å, c = 7.096 Å
α = 57.84°, β = 66.12°, γ = 66.12°
Fractional positions:
1 Y 0.099 0.607 0.195
2 Y 0.901 0.393 0.805
3 Y 0.401 0.805 0.393
4 Y 0.599 0.195 0.607
5 Se 0.355 0.285 0.005
6 Se 0.645 0.715 0.995
7 Se 0.145 0.995 0.715
8 Se 0.855 0.005 0.285
9 O 0.250 0.500 0.500
10 O 0.750 0.500 0.500

=====

PmPrSmAg after structural relaxation. Source: Alexandria, functional GGA-PBE.

Calculated values
V = 29.85 Å³ per atom
formation energy = 0.0933 eV/atom
theoretical density = 7.57 g cm⁻³
spin magnetization = 0.00 μB per cell
space group = No. 216

a = 5.527 Å, b = 5.527 Å, c = 5.527 Å
α = 60.00°, β = 60.00°, γ = 60.00°
Fractional positions:
1 Pr 0.000 0.000 0.000
2 Ag 0.250 0.250 0.250
3 Sm 0.500 0.500 0.500
4 Pm 0.750 0.750 0.750

=====

TaCd2Br after structural relaxation. Source: Alexandria, functional GGA-PBE.

Calculated values
V = 27.78 Å³ per atom
ΔE_f (raw) = 64.7 kJ/mol of atoms
theoretical density = 7.26 g cm⁻³
spin magnetization = 0.00 μB per cell
space group = No. 122

a = 9.419 Å, b = 9.419 Å, c = 7.116 Å
α = 48.56°, β = 48.56°, γ = 90.00°
Fractional positions:
1 Cd 0.714 0.125 0.250
2 Cd 0.036 0.625 0.250
3 Cd 0.375 0.286 0.750
4 Cd 0.875 0.964 0.750
5 Br 0.500 0.500 0.000
6 Br 0.250 0.750 0.500
7 Ta 0.000 0.000 0.000
8 Ta 0.750 0.250 0.500

=====

ZnCo2Os after structural relaxation. Source: Alexandria, functional GGA-PBE.

Calculated values
V = 12.62 Å³ per atom
formation energy = 0.2627 eV/atom
theoretical density = 12.29 g cm⁻³
spin magnetization = 3.66 μB per cell
space group = No. 71

a = 4.928 Å, b = 4.928 Å, c = 4.928 Å
α = 146.87°, β = 128.77°, γ = 62.38°
Site moments in Bohr magnetons follow the coordinates.
Fractional positions:
1 Co 0.999 0.999 0.000  1.61
2 Co 0.501 0.501 0.000  1.61
3 Os 0.250 0.750 0.500  0.51
4 Zn 0.750 0.250 0.500  -0.02

=====

HfTa4Nb2 after structural relaxation. Source: Alexandria, functional GGA-PBE.

Calculated values
V = 19.08 Å³ per atom
formation energy = 0.0686 eV/atom
theoretical density = 13.53 g cm⁻³
spin magnetization = 0.00 μB per cell
space group = No. 6

a = 7.734 Å, b = 5.102 Å, c = 9.318 Å
α = 123.18°, β = 114.56°, γ = 90.00°
Fractional positions:
1 Hf 0.237 0.828 0.952
2 Hf 0.535 0.922 0.547
3 Ta 0.366 0.249 0.374
4 Ta 0.072 0.743 0.368
5 Ta 0.954 0.008 0.133
6 Ta 0.957 0.038 0.663
7 Ta 0.785 0.539 0.664
8 Ta 0.241 0.501 0.125
9 Ta 0.544 0.711 0.836
10 Ta 0.371 0.212 0.836
11 Nb 0.081 0.416 0.541
12 Nb 0.790 0.334 0.959
13 Nb 0.659 0.375 0.250
14 Nb 0.659 0.875 0.250

=====

Sr3HfTi2O9 after structural relaxation. Source: Alexandria, functional GGA-PBE.

Calculated values
V = 12.89 Å³ per atom
ΔE_f (raw) = -309.2 kJ/mol of atoms
theoretical density = 5.85 g cm⁻³
spin magnetization = 0.00 μB per cell
space group = No. 164

a = 5.665 Å, b = 5.665 Å, c = 6.955 Å
α = 90.00°, β = 90.00°, γ = 120.00°
Fractional positions:
1 Sr 0.333 0.667 0.676
2 Sr 0.000 0.000 0.000
3 Sr 0.667 0.333 0.324
4 Hf 0.000 0.000 0.500
5 Ti 0.333 0.667 0.163
6 Ti 0.667 0.333 0.837
7 O 0.829 0.171 0.673
8 O 0.829 0.659 0.673
9 O 0.341 0.171 0.673
10 O 0.659 0.829 0.327
11 O 0.171 0.341 0.327
12 O 0.171 0.829 0.327
13 O 0.500 0.000 0.000
14 O 0.000 0.500 0.000
15 O 0.500 0.500 0.000